Compound: LaMg2Co
Source: the Alexandria database
Functional: SCAN
Structure: PBEsol geometry

The structure in extended XYZ format:
```
8
Lattice="-1.980 1.980 11.090 1.980 -1.980 11.090 1.980 1.980 -11.090" Properties=species:S:1:pos:R:3 pbc="T T T"
La 0.000 0.000 0.000
La 0.000 1.980 5.545
Mg 0.990 -0.901 8.318
Mg 1.079 0.990 2.773
Mg 0.990 2.881 -2.773
Mg 0.901 0.990 13.863
Co 1.980 0.000 5.545
Co 0.000 0.000 11.090
```

Results
DOS(E_F) (states/eV per cell): 3.7
Energy relative to the elements (eV per atom): 0.3991
M_tot (μB/cell): 0.00

***

Compound: CoOsRh2
Source: the Alexandria database
Functional: SCAN
Structure: PBEsol geometry

The structure in extended XYZ format:
```
4
Lattice="2.640 0.000 0.000 0.000 3.685 0.000 0.000 0.000 5.269" Properties=species:S:1:pos:R:3 pbc="T T T"
Co 0.000 0.000 0.000
Os 1.320 1.842 1.234
Rh 0.000 0.000 2.567
Rh 1.320 1.842 3.982
```

Results
DOS(E_F) (states/eV per cell): 3.8
Energy relative to the elements (eV per atom): 0.1237
M_tot (μB/cell): 1.62
Polymorph energy (0 for the lowest one) (eV/f.u.): 0.261

***

Compound: Mn2Tl2Pb
Source: the Alexandria database
Functional: SCAN
Structure: PBEsol geometry

The structure in extended XYZ format:
```
5
Lattice="-2.074 2.074 6.413 2.074 -2.074 6.413 2.074 2.074 -6.413" Properties=species:S:1:pos:R:3 pbc="T T T"
Mn 0.000 0.000 1.211
Mn 0.000 0.000 11.614
Tl 2.074 0.000 3.206
Tl 0.000 2.074 3.206
Pb 0.000 0.000 6.413
```

Results
DOS(E_F) (states/eV per cell): 4.1
Energy relative to the elements (eV per atom): 0.3643
M_tot (μB/cell): 7.93